First-principles (PBE with a Hubbard U) data for a relaxed structure of AlFe3F, as listed in Alexandria via LeMat-Bulk.

a = 4.758 Å, b = 4.758 Å, c = 4.758 Å
α = 90.00°, β = 90.00°, γ = 90.00°
Atoms (fractional coordinates):
Fe 0.000 0.000 0.500
Al 0.000 0.000 0.000
F 0.500 0.500 0.500
Fe 0.000 0.500 0.000
Fe 0.500 0.000 0.000

Summary:
**Polymorph energy (0 for the lowest one)**: 0.412 eV per atom
**Total magnetic moment**: 10.3 μB per formula unit